VASP calculation (GGA+U) on a geometry-optimized SrVPO2 structure.

As for the total energy: -30.9 eV/cell. Its crystal system is tetragonal.

The space group is P4/mmm (No. 123) and the conventional cell measures 3.9857, 3.9857 and 4.7336 Å, with angles of 90.00, 90.00 and 90.00 degrees. Symmetry generates all atoms from Sr at (0.0000, 0.0000, 0.0000), V at (0.5000, 0.5000, 0.5000), P at (0.5000, 0.5000, 0.0000) and O at (0.0000, 0.5000, 0.5000).